## PrCrSb3 (GGA-PBEsol)

Data for PrCrSb3 after structural relaxation.

Structure (POSCAR):
```
PrCrSb3
1.0
13.004 0.000 0.000
0.000 6.162 0.000
0.000 0.000 5.987
Pr Cr Sb
4 4 12
direct
0.193 0.003 0.250
0.193 0.497 0.750
0.807 0.503 0.250
0.807 0.997 0.750
0.408 0.750 0.000
0.408 0.750 0.500
0.592 0.250 0.000
0.592 0.250 0.500
0.001 0.750 0.000
0.001 0.750 0.500
0.284 0.001 0.750
0.284 0.499 0.250
0.438 0.100 0.250
0.438 0.400 0.750
0.562 0.600 0.250
0.562 0.900 0.750
0.716 0.501 0.750
0.716 0.999 0.250
0.999 0.250 0.000
0.999 0.250 0.500
```

Summary:
Magnetic moment (μB per formula unit): 2.01
Crystal system: orthorhombic
Formation energy without anion corrections (eV/f.u.): -2.44

## KHgAu2 (GGA-PBEsol)

Data for KHgAu2 after structural relaxation.

Structure (POSCAR):
```
KHgAu2
1.0
4.726 0.000 0.000
-2.363 4.092 0.000
0.000 0.000 16.882
K Hg Au
3 3 6
direct
0.000 0.000 0.000
0.333 0.667 0.667
0.667 0.333 0.333
0.000 0.000 0.196
0.333 0.667 0.863
0.667 0.333 0.529
0.000 0.000 0.482
0.000 0.000 0.805
0.333 0.667 0.148
0.333 0.667 0.471
0.667 0.333 0.138
0.667 0.333 0.815
```

Summary:
Magnetic moment (μB per formula unit): 0.00
Energy of formation from the pure elements (eV/f.u.): -0.61
Crystal system: trigonal

## CrFeCo2 (GGA-PBEsol)

Data for CrFeCo2 after structural relaxation.

Structure (POSCAR):
```
CrFeCo2
1.0
3.465 0.000 0.000
0.000 3.465 0.000
0.000 0.000 3.450
Cr Fe Co
1 1 2
direct
0.000 0.000 0.000
0.500 0.500 0.000
0.000 0.500 0.500
0.500 0.000 0.500
```

Summary:
Magnetic moment (μB per formula unit): 1.30
Energy of formation from the pure elements (eV/f.u.): -0.04
Crystal system: tetragonal

## NbTcGeP2 (GGA-PBEsol)

Data for NbTcGeP2 after structural relaxation.

Structure (POSCAR):
```
NbTcGeP2
1.0
4.383 0.000 0.000
0.000 4.383 0.000
0.000 0.000 5.106
Nb Tc Ge P
1 1 1 2
direct
0.000 0.000 0.000
0.000 0.000 0.500
0.500 0.500 0.000
0.000 0.500 0.500
0.500 0.000 0.500
```

Summary:
Magnetic moment (μB per formula unit): 0.00
Energy of formation from the pure elements (eV/f.u.): 3.23
Crystal system: tetragonal

## KMo3O9 (GGA-PBEsol)

Data for KMo3O9 after structural relaxation.

Structure (POSCAR):
```
KMo3O9
1.0
7.335 -3.833 0.000
7.335 3.833 0.000
-0.289 0.000 6.351
K Mo O
2 6 18
direct
0.194 0.194 0.337
0.806 0.806 0.663
0.181 0.701 0.232
0.299 0.819 0.768
0.380 0.380 0.862
0.620 0.620 0.138
0.701 0.181 0.232
0.819 0.299 0.768
0.039 0.039 0.794
0.070 0.593 0.298
0.180 0.657 0.911
0.241 0.759 0.500
0.279 0.279 0.983
0.343 0.820 0.089
0.351 0.351 0.600
0.407 0.930 0.702
0.461 0.461 0.192
0.539 0.539 0.808
0.593 0.070 0.298
0.649 0.649 0.400
0.657 0.180 0.911
0.721 0.721 0.017
0.759 0.241 0.500
0.820 0.343 0.089
0.930 0.407 0.702
0.961 0.961 0.206
```

Summary:
Magnetic moment (μB per formula unit): 0.00
Crystal system: monoclinic
Formation energy without anion corrections (eV/f.u.): -26.38

## ScSb2Pb (GGA-PBEsol)

Data for ScSb2Pb after structural relaxation.

Structure (POSCAR):
```
ScSb2Pb
1.0
3.352 0.000 0.000
-1.676 2.903 0.000
0.000 0.000 31.936
Sc Sb Pb
3 6 3
direct
0.000 0.000 0.000
0.333 0.667 0.667
0.667 0.333 0.333
0.000 0.000 0.261
0.000 0.000 0.739
0.333 0.667 0.406
0.333 0.667 0.928
0.667 0.333 0.072
0.667 0.333 0.594
0.000 0.000 0.500
0.333 0.667 0.167
0.667 0.333 0.833
```

Summary:
Magnetic moment (μB per formula unit): 0.00
Crystal system: trigonal
Formation energy without anion corrections (eV/f.u.): -1.01

## Ba2Cu (GGA-PBEsol)

Data for Ba2Cu after structural relaxation.

Structure (POSCAR):
```
Ba2Cu
1.0
4.164 0.000 0.000
0.000 14.594 0.000
0.000 0.000 7.747
Ba Cu
8 4
direct
0.000 0.016 0.000
0.000 0.274 0.834
0.000 0.726 0.334
0.000 0.984 0.500
0.500 0.226 0.334
0.500 0.484 0.500
0.500 0.516 0.000
0.500 0.774 0.834
0.000 0.387 0.221
0.000 0.613 0.721
0.500 0.113 0.721
0.500 0.887 0.221
```

Summary:
Magnetic moment (μB per formula unit): 0.00
Energy of formation from the pure elements (eV/f.u.): 0.28
Crystal system: orthorhombic

## NaMnH3O3 (GGA-PBEsol)

Data for NaMnH3O3 after structural relaxation.

Structure (POSCAR):
```
NaMnH3O3
1.0
11.390 0.000 0.000
0.000 11.390 0.000
0.000 0.000 4.863
Na Mn H O
8 8 24 24
direct
0.078 0.105 0.000
0.105 0.922 0.500
0.395 0.422 0.500
0.422 0.605 0.000
0.578 0.395 0.000
0.605 0.578 0.500
0.895 0.078 0.500
0.922 0.895 0.000
0.043 0.306 0.471
0.194 0.457 0.971
0.306 0.957 0.971
0.457 0.806 0.471
0.543 0.194 0.471
0.694 0.043 0.971
0.806 0.543 0.971
0.957 0.694 0.471
0.131 0.824 0.025
0.159 0.677 0.311
0.176 0.131 0.525
0.177 0.659 0.811
0.180 0.256 0.058
0.244 0.320 0.558
0.256 0.820 0.558
0.320 0.756 0.058
0.323 0.159 0.811
0.324 0.631 0.525
0.341 0.177 0.311
0.369 0.324 0.025
0.631 0.676 0.025
0.659 0.823 0.311
0.676 0.369 0.525
0.677 0.841 0.811
0.680 0.244 0.058
0.744 0.180 0.558
0.756 0.680 0.558
0.820 0.744 0.058
0.823 0.341 0.811
0.824 0.869 0.525
0.841 0.323 0.311
0.869 0.176 0.025
0.090 0.128 0.510
0.108 0.306 0.064
0.128 0.910 0.010
0.130 0.711 0.489
0.194 0.392 0.564
0.211 0.630 0.989
0.289 0.130 0.989
0.306 0.892 0.564
0.370 0.211 0.489
0.372 0.410 0.010
0.392 0.806 0.064
0.410 0.628 0.510
0.590 0.372 0.510
0.608 0.194 0.064
0.628 0.590 0.010
0.630 0.789 0.489
0.694 0.108 0.564
0.711 0.870 0.989
0.789 0.370 0.989
0.806 0.608 0.564
0.870 0.289 0.489
0.872 0.090 0.010
0.892 0.694 0.064
0.910 0.872 0.510
```

Summary:
Magnetic moment (μB per formula unit): 5.00
Crystal system: tetragonal

## LiLa2ReO6 (GGA-PBEsol)

Data for LiLa2ReO6 after structural relaxation.

Structure (POSCAR):
```
LiLa2ReO6
1.0
5.518 0.000 0.000
0.000 5.687 0.000
-5.454 0.000 7.815
Li La Re O
2 4 2 12
direct
0.000 0.000 0.000
0.000 0.500 0.500
0.237 0.055 0.748
0.237 0.445 0.248
0.763 0.555 0.752
0.763 0.945 0.252
0.500 0.000 0.500
0.500 0.500 0.000
0.167 0.195 0.456
0.167 0.305 0.956
0.261 0.716 0.452
0.261 0.784 0.952
0.342 0.022 0.256
0.342 0.478 0.756
0.658 0.522 0.244
0.658 0.978 0.744
0.739 0.216 0.048
0.739 0.284 0.548
0.833 0.695 0.044
0.833 0.805 0.544
```

Summary:
Magnetic moment (μB per formula unit): 2.01
Crystal system: monoclinic
Formation energy without anion corrections (eV/f.u.): -26.28

## RuPtS2 (GGA-PBEsol)

Data for RuPtS2 after structural relaxation.

Structure (POSCAR):
```
RuPtS2
1.0
3.204 0.000 0.000
-1.602 2.775 0.000
0.000 0.000 21.917
Ru Pt S
3 3 6
direct
0.000 0.000 0.000
0.333 0.667 0.667
0.667 0.333 0.333
0.000 0.000 0.500
0.333 0.667 0.167
0.667 0.333 0.833
0.000 0.000 0.398
0.000 0.000 0.602
0.333 0.667 0.065
0.333 0.667 0.268
0.667 0.333 0.732
0.667 0.333 0.935
```

Summary:
Magnetic moment (μB per formula unit): 0.17
Crystal system: trigonal
Formation energy without anion corrections (eV/f.u.): -0.60

## SrLiMg2 (GGA-PBEsol)

Data for SrLiMg2 after structural relaxation.

Structure (POSCAR):
```
SrLiMg2
1.0
3.714 0.000 0.000
0.000 3.714 0.000
0.000 0.000 8.031
Sr Li Mg
1 1 2
direct
0.000 0.000 0.000
0.000 0.000 0.500
0.500 0.500 0.304
0.500 0.500 0.696
```

Summary:
Magnetic moment (μB per formula unit): 0.00
Energy of formation from the pure elements (eV/f.u.): -0.08
Crystal system: tetragonal

## YSiBr (GGA-PBEsol)

Data for YSiBr after structural relaxation.

Structure (POSCAR):
```
YSiBr
1.0
3.642 0.000 0.000
0.000 3.642 0.000
0.000 0.000 9.849
Y Si Br
2 2 2
direct
0.000 0.000 0.000
0.500 0.500 0.500
0.000 0.000 0.327
0.500 0.500 0.827
0.000 0.000 0.642
0.500 0.500 0.142
```

Summary:
Magnetic moment (μB per formula unit): 0.00
Crystal system: tetragonal
Formation energy without anion corrections (eV/f.u.): -1.56

## SbNOF2 (GGA-PBEsol)

Data for SbNOF2 after structural relaxation.

Structure (POSCAR):
```
SbNOF2
1.0
3.842 0.000 0.000
0.000 3.842 0.000
0.000 0.000 3.665
Sb N O F
1 1 1 2
direct
0.000 0.000 0.000
0.500 0.500 0.000
0.500 0.500 0.500
0.000 0.500 0.500
0.500 0.000 0.500
```

Summary:
Magnetic moment (μB per formula unit): 0.00
Crystal system: tetragonal
Formation energy without anion corrections (eV/f.u.): 2.18

## Tc2NiW (GGA-PBEsol)

Data for Tc2NiW after structural relaxation.

Structure (POSCAR):
```
Tc2NiW
1.0
3.794 0.000 0.000
0.000 3.794 0.000
0.000 0.000 7.506
Tc Ni W
4 2 2
direct
0.000 0.000 0.000
0.000 0.500 0.250
0.500 0.000 0.750
0.500 0.500 0.500
0.000 0.500 0.750
0.500 0.000 0.250
0.000 0.000 0.500
0.500 0.500 0.000
```

Summary:
Magnetic moment (μB per formula unit): 0.00
Energy of formation from the pure elements (eV/f.u.): 0.04
Crystal system: tetragonal

## H6PbCI3N (GGA-PBEsol)

Data for H6PbCI3N after structural relaxation.

Structure (POSCAR):
```
H6PbCI3N
1.0
6.281 0.000 0.000
0.000 6.236 0.000
-0.136 0.000 6.360
H Pb C I N
6 1 1 3 1
direct
0.000 0.000 0.000
0.081 0.136 0.214
0.081 0.864 0.214
0.693 0.145 0.187
0.693 0.855 0.187
0.784 0.000 0.417
0.326 0.500 0.733
0.776 0.000 0.244
0.283 0.000 0.688
0.294 0.500 0.235
0.815 0.500 0.785
0.995 0.000 0.164
```

Summary:
Magnetic moment (μB per formula unit): 0.00
Crystal system: monoclinic

## MnTcIr2 (GGA-PBEsol)

Data for MnTcIr2 after structural relaxation.

Structure (POSCAR):
```
MnTcIr2
1.0
8.842 0.000 0.000
0.000 2.672 0.000
-0.799 0.000 4.539
Mn Tc Ir
2 2 4
direct
0.000 0.000 0.000
0.500 0.500 0.000
0.000 0.500 0.500
0.500 0.000 0.500
0.249 0.500 0.248
0.251 0.000 0.752
0.749 0.000 0.248
0.751 0.500 0.752
```

Summary:
Magnetic moment (μB per formula unit): 1.92
Energy of formation from the pure elements (eV/f.u.): -0.35
Crystal system: monoclinic

## MnCl2 (GGA-PBEsol)

Data for MnCl2 after structural relaxation.

Structure (POSCAR):
```
MnCl2
1.0
3.637 0.000 0.000
0.000 6.286 0.000
0.000 0.000 12.437
Mn Cl
4 8
direct
0.000 0.000 0.000
0.000 0.500 0.500
0.500 0.000 0.500
0.500 0.500 0.000
0.000 0.166 0.389
0.000 0.334 0.889
0.000 0.666 0.111
0.000 0.834 0.611
0.500 0.166 0.111
0.500 0.334 0.611
0.500 0.666 0.389
0.500 0.834 0.889
```

Summary:
Magnetic moment (μB per formula unit): 5.00
Crystal system: orthorhombic
Formation energy without anion corrections (eV/f.u.): -2.91

## SbTeW (GGA-PBEsol)

Data for SbTeW after structural relaxation.

Structure (POSCAR):
```
SbTeW
1.0
3.469 0.000 0.000
0.000 5.209 0.000
0.000 0.000 15.014
Sb Te W
4 4 4
direct
0.000 0.000 0.000
0.000 0.500 0.500
0.500 0.000 0.500
0.500 0.500 0.000
0.000 0.000 0.718
0.000 0.500 0.218
0.500 0.000 0.218
0.500 0.500 0.718
0.000 0.000 0.358
0.000 0.500 0.858
0.500 0.000 0.858
0.500 0.500 0.358
```

Summary:
Magnetic moment (μB per formula unit): 0.00
Crystal system: orthorhombic
Formation energy without anion corrections (eV/f.u.): 1.76

## BeTc2Hg (GGA-PBEsol)

Data for BeTc2Hg after structural relaxation.

Structure (POSCAR):
```
BeTc2Hg
1.0
3.064 0.000 0.000
0.000 4.381 0.000
0.000 0.000 8.203
Be Tc Hg
2 4 2
direct
0.000 0.000 0.000
0.500 0.500 0.500
0.000 0.000 0.511
0.000 0.500 0.277
0.500 0.000 0.777
0.500 0.500 0.011
0.000 0.500 0.728
0.500 0.000 0.228
```

Summary:
Magnetic moment (μB per formula unit): 0.00
Energy of formation from the pure elements (eV/f.u.): 1.52
Crystal system: orthorhombic

## CdSeO4 (GGA-PBEsol)

Data for CdSeO4 after structural relaxation.

Structure (POSCAR):
```
CdSeO4
1.0
6.585 0.000 0.000
0.000 4.950 0.000
0.000 0.000 4.995
Cd Se O
2 2 8
direct
0.000 0.102 0.000
0.500 0.898 0.500
0.000 0.653 0.459
0.500 0.347 0.959
0.000 0.326 0.390
0.000 0.690 0.789
0.198 0.809 0.312
0.302 0.191 0.812
0.500 0.310 0.289
0.500 0.674 0.890
0.698 0.191 0.812
0.802 0.809 0.312
```

Summary:
Magnetic moment (μB per formula unit): 0.00
Crystal system: orthorhombic
Formation energy without anion corrections (eV/f.u.): -4.97

## TcNi2Pt (GGA-PBEsol)

Data for TcNi2Pt after structural relaxation.

Structure (POSCAR):
```
TcNi2Pt
1.0
2.678 0.000 0.000
0.000 4.478 0.000
0.000 0.000 8.577
Tc Ni Pt
2 4 2
direct
0.000 0.000 0.000
0.500 0.500 0.500
0.000 0.500 0.257
0.000 0.500 0.743
0.500 0.000 0.243
0.500 0.000 0.757
0.000 0.000 0.500
0.500 0.500 0.000
```

Summary:
Magnetic moment (μB per formula unit): 0.52
Energy of formation from the pure elements (eV/f.u.): 0.71
Crystal system: orthorhombic

## Li2YMg (GGA-PBEsol)

Data for Li2YMg after structural relaxation.

Structure (POSCAR):
```
Li2YMg
1.0
3.542 0.000 0.000
0.000 3.542 0.000
0.000 0.000 7.130
Li Y Mg
2 1 1
direct
0.000 0.000 0.218
0.000 0.000 0.782
0.500 0.500 0.500
0.500 0.500 0.000
```

Summary:
Magnetic moment (μB per formula unit): 0.00
Energy of formation from the pure elements (eV/f.u.): 0.26
Crystal system: tetragonal

Number 1: total energy -6.31 eV per atom. Number 2: total energy -2.54 eV per atom. Number 3: total energy -8.68 eV per atom. Number 4: total energy -7.08 eV per atom. Number 5: total energy -8.47 eV per atom. Number 6: total energy -5.18 eV per atom. Number 7: total energy -2.78 eV per atom. Number 8: total energy -5.74 eV per atom. Number 9: total energy -8.38 eV per atom. Number 10: total energy -6.63 eV per atom. Number 11: total energy -1.83 eV per atom. Number 12: total energy -5.33 eV per atom. Number 13: total energy -4.00 eV per atom. Number 14: total energy -10.61 eV per atom. Number 15: total energy -4.34 eV per atom. Number 16: total energy -10.26 eV per atom. Number 17: total energy -5.56 eV per atom. Number 18: total energy -6.71 eV per atom. Number 19: total energy -6.40 eV per atom. Number 20: total energy -5.17 eV per atom. Number 21: total energy -7.46 eV per atom. Number 22: total energy -3.05 eV per atom.